PaAlRe (PBE, optimized geometry); calculated volume = 126.58 Å³ per cell; raw total energy = -52.0 eV/cell; space group = P4/nmm; formation energy from the elements = -101 meV per atom; ΔE to the lowest computed polymorph = 208 meV/atom
1.0
4.3718 0.0000 0.0000
0.0000 4.3718 0.0000
0.0000 0.0000 6.6226
Al Re Pa
2 2 2
Cartesian
0.0000 2.1859 4.7415
2.1859 0.0000 1.8811
0.0000 0.0000 3.3113
2.1859 2.1859 3.3113
0.0000 2.1859 1.3797
2.1859 0.0000 5.2429